DFT (PBEsol) results for crystalline Na2InGa2 at its relaxed geometry.

abc: 6.9393 6.9393 4.8939
angles: 90.00 90.00 90.00
With the nearest neighbours (Å) after each atom.
Fractional coordinates of all 10 atoms:
Na1 0.1748 0.3252 0.0000  6 Ga 3.13-3.23, 1 Na 3.43
Na2 0.3252 0.8252 0.0000  6 Ga 3.13-3.23, 1 Na 3.43
Na3 0.6748 0.1748 0.0000  6 Ga 3.13-3.23, 1 Na 3.43
Na4 0.8252 0.6748 0.0000  6 Ga 3.13-3.23, 1 Na 3.43
In1 0.0000 0.0000 0.5000  4 Ga 2.74
In2 0.5000 0.5000 0.5000  4 Ga 2.74
Ga1 0.1260 0.6260 0.5000  1 Ga 2.47, 2 In 2.74
Ga2 0.3740 0.1260 0.5000  1 Ga 2.47, 2 In 2.74
Ga3 0.6260 0.8740 0.5000  1 Ga 2.47, 2 In 2.74
Ga4 0.8740 0.3740 0.5000  1 Ga 2.47, 2 In 2.74

## Properties
energy relative to the elements = -73 meV per atom
magnetic moment = 0.00 μB per formula unit
electronic total energy = -2.56 eV per atom
Fermi-level density of states = 1.82 states/eV/f.u.